[1]
Here is a relaxed La2Cl crystal from Alexandria. Energies are from PBE.

a = 5.889 Å, b = 5.889 Å, c = 10.354 Å
α = 90.00°, β = 90.00°, γ = 90.00°
Space group I4_1/amd (No. 141, origin choice 2)
Asymmetric unit:
La 0.000 0.250 0.088 [8 per cell]
Cl 0.000 0.250 0.375 [4 per cell]

Computed properties:
Energy relative to the lowest polymorph listed for this composition: 0 meV/atom

***

[2]
Here is a relaxed CsPuBr6 crystal from Alexandria. Energies are from PBE.

a = 7.6235 Å, b = 7.6235 Å, c = 13.9497 Å
α = 90.00°, β = 90.00°, γ = 120.00°
Space group P-31c (No. 163)
Asymmetric unit:
Cs 0.3333 0.6667 0.2500 [2 per cell]
Pu 0.0000 0.0000 0.0000 [2 per cell]
Br 0.0929 0.3251 0.6111 [12 per cell]

Computed properties:
Energy relative to the lowest polymorph listed for this composition: 5 meV/atom

***

[3]
Here is a relaxed CdTcMo crystal from Alexandria. Energies are from PBE.

a = 4.662 Å, b = 3.062 Å, c = 7.198 Å
α = 90.00°, β = 98.08°, γ = 90.00°
Space group Cm (No. 8)
Asymmetric unit:
Cd 0.000 0.000 0.000 [2 per cell]
Tc 0.267 0.000 0.649 [2 per cell]
Mo 0.216 0.500 0.359 [2 per cell]

Computed properties:
Energy relative to the lowest polymorph listed for this composition: 49 meV/atom

***

[4]
Here is a relaxed NaIn2P2 crystal from Alexandria. Energies are from PBE.

a = 7.678 Å, b = 7.678 Å, c = 3.656 Å
α = 90.00°, β = 90.00°, γ = 90.00°
Space group P4/mbm (No. 127)
Asymmetric unit:
Na 0.000 0.000 0.000 [2 per cell]
In 0.145 0.355 0.500 [4 per cell]
P 0.158 0.658 0.000 [4 per cell]

Computed properties:
Final energy: -3.510 eV/atom

***

Total moment for every record listed, in sequence, given in Bohr magnetons per cell: 0.00, 6.00, 0.00, 0.00.